No. 1
Density functional theory data (GGA-PBE) for Er4Si3 after structural relaxation.

```
data_Er4Si3
_symmetry_space_group_name_H-M 'I -4 3 d'
_symmetry_Int_Tables_number 220
_symmetry_space_group_name_Hall 'I -4bd 2c 3'
_cell_length_a 8.676
_cell_length_b 8.676
_cell_length_c 8.676
_cell_angle_alpha 90.00
_cell_angle_beta 90.00
_cell_angle_gamma 90.00
loop_
_atom_site_label
_atom_site_type_symbol
_atom_site_fract_x
_atom_site_fract_y
_atom_site_fract_z
Er1 Er 0.067 0.433 0.567
Si1 Si 0.000 0.250 0.875
```

---

No. 2
Density functional theory data (GGA-PBE) for SmErSi after structural relaxation.

Properties
E above lowest polymorph: 0 meV per atom

```
data_SmErSi
_symmetry_space_group_name_H-M 'F -4 3 m'
_symmetry_Int_Tables_number 216
_symmetry_space_group_name_Hall 'F -4 2 3'
_cell_length_a 6.896
_cell_length_b 6.896
_cell_length_c 6.896
_cell_angle_alpha 90.00
_cell_angle_beta 90.00
_cell_angle_gamma 90.00
loop_
_atom_site_label
_atom_site_type_symbol
_atom_site_fract_x
_atom_site_fract_y
_atom_site_fract_z
Sm1 Sm 0.000 0.000 0.000
Er1 Er 0.000 0.000 0.500
Si1 Si 0.250 0.250 0.750
```

---

No. 3
Density functional theory data (GGA-PBE) for ErSiSn after structural relaxation.

Properties
E above lowest polymorph: 147 meV per atom

```
data_ErSiSn
_symmetry_space_group_name_H-M 'F -4 3 m'
_symmetry_Int_Tables_number 216
_symmetry_space_group_name_Hall 'F -4 2 3'
_cell_length_a 6.887
_cell_length_b 6.887
_cell_length_c 6.887
_cell_angle_alpha 90.00
_cell_angle_beta 90.00
_cell_angle_gamma 90.00
loop_
_atom_site_label
_atom_site_type_symbol
_atom_site_fract_x
_atom_site_fract_y
_atom_site_fract_z
Er1 Er 0.000 0.000 0.000
Si1 Si 0.250 0.250 0.750
Sn1 Sn 0.250 0.250 0.250
```

---

No. 4
Density functional theory data (GGA-PBE) for ErSiSn after structural relaxation.

Properties
E above lowest polymorph: 0 meV per atom

```
data_ErSiSn
_symmetry_space_group_name_H-M 'F -4 3 m'
_symmetry_Int_Tables_number 216
_symmetry_space_group_name_Hall 'F -4 2 3'
_cell_length_a 6.758
_cell_length_b 6.758
_cell_length_c 6.758
_cell_angle_alpha 90.00
_cell_angle_beta 90.00
_cell_angle_gamma 90.00
loop_
_atom_site_label
_atom_site_type_symbol
_atom_site_fract_x
_atom_site_fract_y
_atom_site_fract_z
Er1 Er 0.000 0.000 0.000
Si1 Si 0.250 0.250 0.250
Sn1 Sn 0.000 0.000 0.500
```

---

No. 5
Density functional theory data (GGA-PBE) for Er3Si4Sn4 after structural relaxation.

```
data_Er3Si4Sn4
_symmetry_space_group_name_H-M 'I m m m'
_symmetry_Int_Tables_number 71
_symmetry_space_group_name_Hall '-I 2 2'
_cell_length_a 4.440
_cell_length_b 6.869
_cell_length_c 16.915
_cell_angle_alpha 90.00
_cell_angle_beta 90.00
_cell_angle_gamma 90.00
loop_
_atom_site_label
_atom_site_type_symbol
_atom_site_fract_x
_atom_site_fract_y
_atom_site_fract_z
Er1 Er 0.000 0.000 0.000
Er2 Er 0.000 0.500 0.128
Si1 Si 0.000 0.320 0.350
Sn1 Sn 0.000 0.000 0.222
Sn2 Sn 0.000 0.200 0.500
```

---

No. 6
Density functional theory data (GGA-PBE) for Er2SiSn after structural relaxation.

```
data_Er2SiSn
_symmetry_space_group_name_H-M 'A m m 2'
_symmetry_Int_Tables_number 38
_cell_length_a 4.020
_cell_length_b 4.371
_cell_length_c 10.927
_cell_angle_alpha 90.00
_cell_angle_beta 90.00
_cell_angle_gamma 90.00
loop_
_symmetry_equiv_pos_as_xyz
'x,y,z'
'-x,-y,z'
'-x,y,z'
'x,-y,z'
'x,y+1/2,z+1/2'
'-x,-y+1/2,z+1/2'
'-x,y+1/2,z+1/2'
'x,-y+1/2,z+1/2'
loop_
_atom_site_label
_atom_site_type_symbol
_atom_site_fract_x
_atom_site_fract_y
_atom_site_fract_z
Er1 Er 0.000 0.000 0.000
Er2 Er 0.500 0.000 0.279
Si1 Si 0.000 0.000 0.736
Sn1 Sn 0.500 0.000 0.561
```

---

Number 1: VASP energy -5.650 eV per atom. Number 2: VASP energy -5.355 eV per atom. Number 3: VASP energy -4.614 eV per atom. Number 4: VASP energy -4.761 eV per atom. Number 5: VASP energy -4.768 eV per atom. Number 6: VASP energy -5.330 eV per atom.